Record 1
Density functional theory data (PBE) for a geometry-optimized AlSi2Ag structure.

Output
As for the spin magnetization: 0.000 μB/f.u. As for the total energy: -32.48 eV per cell. The raw formation energy comes out at 0.300 eV per atom.

Cell lengths 9.923, 2.810, 5.057 Å; angles 90.00, 111.15, 90.00 degrees
Space group Cm (No. 8)
Symmetry-distinct sites (fractional):
Al 0.000 0.000 0.000
Si 0.028 0.500 0.521
Si 0.247 0.000 0.812
Ag 0.264 0.500 0.306

***

Record 2
Density functional theory data (PBE) for a geometry-optimized Al3SiAg structure.

Output
As for the energy above the most stable polymorph in this dataset: 0.154 eV per atom. As for the spin magnetization: 0.000 μB/f.u. As for the total energy: -15.75 eV per cell. The raw formation energy comes out at 0.750 eV per atom.

Cell lengths 4.816, 4.816, 4.816 Å; angles 90.00, 90.00, 90.00 degrees
Space group Pm-3m (No. 221)
Symmetry-distinct sites (fractional):
Al 0.000 0.000 0.500
Si 0.500 0.500 0.500
Ag 0.000 0.000 0.000

***

Record 3
Density functional theory data (PBE) for a geometry-optimized Al2SiAg structure.

Output
As for the spin magnetization: 0.000 μB/f.u. As for the total energy: -30.76 eV per cell. The raw formation energy comes out at 0.094 eV per atom.

Cell lengths 4.038, 4.189, 7.657 Å; angles 90.00, 90.00, 90.00 degrees
Space group Cmmm (No. 65)
Symmetry-distinct sites (fractional):
Al 0.000 0.000 0.241
Si 0.000 0.500 0.000
Ag 0.000 0.500 0.500

***

Record 4
Density functional theory data (PBE) for a geometry-optimized AlSiAg2 structure.

Output
As for the spin magnetization: 0.000 μB/f.u. As for the total energy: -53.42 eV per cell. The raw formation energy comes out at 0.378 eV per atom.

Cell lengths 7.473, 7.473, 5.398 Å; angles 90.00, 90.00, 90.00 degrees
Space group I-42d (No. 122)
Symmetry-distinct sites (fractional):
Al 0.000 0.000 0.000
Si 0.000 0.000 0.500
Ag 0.231 0.250 0.625

***

Record 5
Density functional theory data (PBE) for a geometry-optimized AlSiAg structure.

Output
As for the spin magnetization: 0.000 μB/f.u. As for the total energy: -23.05 eV per cell. The raw formation energy comes out at 0.165 eV per atom.

Cell lengths 3.939, 3.939, 6.776 Å; angles 90.00, 90.00, 90.00 degrees
Space group P4/nmm (No. 129, origin choice 2)
Symmetry-distinct sites (fractional):
Al 0.250 0.750 0.000
Si 0.250 0.250 0.243
Ag 0.250 0.250 0.618

***

Record 6
Density functional theory data (PBE) for a geometry-optimized AlSiAg structure.

Output
As for the spin magnetization: 0.000 μB/f.u. As for the total energy: -22.73 eV per cell. The raw formation energy comes out at 0.217 eV per atom.

Cell lengths 2.868, 2.868, 12.055 Å; angles 90.00, 90.00, 90.00 degrees
Space group I4mm (No. 107)
Symmetry-distinct sites (fractional):
Al 0.000 0.000 0.000
Si 0.000 0.000 0.662
Ag 0.000 0.000 0.335

***

Record 7
Density functional theory data (PBE) for a geometry-optimized AlSi2Ag structure.

Output
As for the spin magnetization: 0.000 μB/f.u. As for the total energy: -16.37 eV per cell. The raw formation energy comes out at 0.266 eV per atom.

Cell lengths 2.812, 4.637, 6.140 Å; angles 111.62, 102.30, 90.68 degrees
Space group P1 (No. 1)
Symmetry-distinct sites (fractional):
Al 0.000 0.000 0.000
Si 0.138 0.588 0.175
Si 0.326 0.811 0.605
Ag 0.842 0.321 0.629

***

Record 8
Density functional theory data (PBE) for a geometry-optimized AlSi2Ag structure.

Output
As for the spin magnetization: 0.000 μB/f.u. As for the total energy: -16.30 eV per cell. The raw formation energy comes out at 0.285 eV per atom.

Cell lengths 2.873, 2.873, 7.755 Å; angles 90.00, 90.00, 90.00 degrees
Space group P4mm (No. 99)
Symmetry-distinct sites (fractional):
Al 0.000 0.000 0.000
Si 0.000 0.000 0.473
Si 0.500 0.500 0.243
Ag 0.500 0.500 0.744